Here is crystalline LiAcMgCu at its relaxed geometry from Alexandria via LeMat-Bulk. Energies are from PBE.

Summary:
DOS(E_F): 4.87 states/eV/f.u.
Formation energy from the elements: -0.01 eV per atom

a b c (Å): 5.125 5.125 5.125
angles (deg): 60.00 60.00 60.00
Atoms (fractional coordinates):
Ac1 0.000 0.000 0.000
Mg1 0.500 0.500 0.500
Cu1 0.250 0.250 0.250
Li1 0.750 0.750 0.750

---

Here is crystalline LiAc2MgCu6 at its relaxed geometry from Alexandria via LeMat-Bulk. Energies are from PBE.

Summary:
DOS(E_F): 5.37 states/eV/f.u.
Formation energy from the elements: 0.15 eV per atom

a b c (Å): 6.621 6.621 6.630
angles (deg): 60.00 60.00 89.85
Atoms (fractional coordinates):
Li1 0.500 0.500 0.000
Cu1 0.732 0.732 0.000
Cu2 0.732 0.268 0.000
Mg1 0.000 0.000 0.000
Ac1 0.750 0.250 0.500
Cu3 0.268 0.732 0.000
Cu4 0.732 0.732 0.536
Cu5 0.268 0.268 0.000
Cu6 0.268 0.268 0.464
Ac2 0.250 0.750 0.500

---

Here is crystalline LiAc2Cu6Ni at its relaxed geometry from Alexandria via LeMat-Bulk. Energies are from PBE.

Summary:
DOS(E_F): 6.24 states/eV/f.u.
Formation energy from the elements: -0.02 eV per atom

a b c (Å): 6.204 6.595 6.252
angles (deg): 60.97 60.31 89.98
Atoms (fractional coordinates):
Cu1 0.249 0.141 0.505
Ac1 0.788 0.364 0.423
Cu2 0.246 0.146 0.104
Ac2 0.212 0.636 0.577
Ni1 0.500 0.500 0.000
Cu3 0.351 0.855 0.898
Cu4 0.751 0.859 0.495
Li1 0.000 0.000 0.000
Cu5 0.754 0.854 0.896
Cu6 0.649 0.145 0.102

---

Here is crystalline Li3Ac2Cu12Ni at its relaxed geometry from Alexandria via LeMat-Bulk. Energies are from PBE.

Summary:
DOS(E_F): 7.11 states/eV/f.u.
Formation energy from the elements: 0.13 eV per atom

a b c (Å): 10.004 10.004 10.004
angles (deg): 35.28 35.28 35.28
Atoms (fractional coordinates):
Cu1 0.067 0.652 0.067
Cu2 0.415 0.812 0.415
Cu3 0.067 0.067 0.652
Ac1 0.353 0.353 0.353
Li1 0.500 0.000 0.000
Li2 0.000 0.500 0.000
Cu4 0.812 0.415 0.415
Ni1 0.000 0.000 0.000
Cu5 0.933 0.348 0.933
Cu6 0.652 0.067 0.067
Cu7 0.415 0.415 0.812
Cu8 0.933 0.933 0.348
Cu9 0.348 0.933 0.933
Cu10 0.585 0.188 0.585
Cu11 0.188 0.585 0.585
Cu12 0.585 0.585 0.188
Ac2 0.647 0.647 0.647
Li3 0.000 0.000 0.500

---

Here is crystalline LiAcCu2O5 at its relaxed geometry from Alexandria via LeMat-Bulk. Energies are from PBE.

Summary:
DOS(E_F): 6.90 states/eV/f.u.
Raw formation energy: -1433 meV/atom

a b c (Å): 3.831 3.831 6.944
angles (deg): 90.00 90.00 90.00
Atoms (fractional coordinates):
Ac1 0.000 0.000 0.500
O1 0.500 0.000 0.216
Cu1 0.500 0.500 0.206
Cu2 0.500 0.500 0.794
O2 0.500 0.000 0.784
Li1 0.000 0.000 0.000
O3 0.000 0.500 0.784
O4 0.500 0.500 0.500
O5 0.000 0.500 0.216

---

Here is crystalline LiAcCuO4 at its relaxed geometry from Alexandria via LeMat-Bulk. Energies are from PBE.

Summary:
DOS(E_F): 4.87 states/eV/f.u.
Raw formation energy: -1488 meV/atom

a b c (Å): 6.393 4.795 6.419
angles (deg): 90.00 113.15 90.00
Atoms (fractional coordinates):
Cu1 0.829 0.250 0.866
O1 0.557 0.250 0.895
O2 0.060 0.006 0.821
Ac1 0.248 0.250 0.532
Cu2 0.171 0.750 0.134
Li1 0.344 0.250 0.026
O3 0.657 0.250 0.531
Ac2 0.752 0.750 0.468
O4 0.940 0.506 0.179
O5 0.343 0.750 0.469
Li2 0.656 0.750 0.974
O6 0.940 0.994 0.179
O7 0.060 0.494 0.821
O8 0.443 0.750 0.105